K2Dy2PaTe6, relaxed, DFT GGA-PBE; uncorrected energy = -4.85 eV/atom; symmetry = C2/m, No. 12; DOS at the Fermi energy = 0.2184 states/eV/atom; total moment = 0.095 μB per atom; formation energy from raw total energies = -1.239 eV/atom
1.0
3.844 -6.650 0.000
3.844 6.650 0.000
-2.585 0.000 8.449
K Dy Pa Te
2 2 1 6
direct
0.167 0.833 0.000
0.833 0.167 0.000
0.333 0.667 0.500
0.667 0.333 0.500
0.000 0.000 0.500
0.071 0.402 0.707
0.265 0.265 0.294
0.402 0.071 0.707
0.598 0.929 0.293
0.735 0.735 0.706
0.929 0.598 0.293